GGA-PBE IClF2, optimized geometry; energy relative to the lowest polymorph listed for this composition = 0.00 eV per formula unit; mass density = 3.23 g/cm3; total energy = -2.239 eV/atom; N(E_F) = 9.739 states/eV/cell
1.0
3.440 0.000 0.000
-1.720 2.979 0.000
0.000 0.000 30.114
I Cl F
3 3 6
Direct
0.000 0.000 0.000
0.333 0.667 0.667
0.667 0.333 0.333
0.000 0.000 0.500
0.333 0.667 0.167
0.667 0.333 0.833
0.000 0.000 0.066
0.000 0.000 0.934
0.333 0.667 0.601
0.333 0.667 0.732
0.667 0.333 0.268
0.667 0.333 0.399